Entry 1:
Na2LaCd at its PBEsol-relaxed geometry. Source: Alexandria, functional SCAN.

Output
DOS at the Fermi energy	1.001	states/eV per atom
E_form	6.7	kJ per mole of atoms
total magnetization	0.00	μB/cell
theoretical density	4.53	Mg/m³

POSCAR file:
```
Na2LaCd
1.0
0.000 3.792 3.792
3.792 0.000 3.792
3.792 3.792 0.000
Na La Cd
2 1 1
Direct
0.250 0.250 0.250
0.750 0.750 0.750
0.000 0.000 0.000
0.500 0.500 0.500
```

Entry 2:
Sc2TlAs at its PBEsol-relaxed geometry. Source: Alexandria, functional SCAN.

Output
DOS at the Fermi energy	0.488	states/eV per atom
offset from the most stable computed form	0.246	eV per atom
E_form	-69.2	kJ per mole of atoms
total magnetization	0.00	μB/cell
theoretical density	7.47	Mg/m³

POSCAR file:
```
Sc2TlAs
1.0
-2.020 2.020 5.030
2.020 -2.020 5.030
2.020 2.020 -5.030
Sc Tl As
2 1 1
Direct
0.000 0.000 0.000
0.750 0.250 0.500
0.500 0.500 0.000
0.250 0.750 0.500
```

Electronic total energy
In order: -81.67; -123.89
Unit: eV per formula unit